[1]
The following is a PBE calculation of Ho8CoRu2 after structural relaxation, from Alexandria.

Unit cell a=8.9482 b=8.9482 c=6.7726 alpha=106.59 beta=106.59 gamma=31.19
With the nearest neighbours (Å) after each atom.
Atoms (fractional coordinates):
Ho 0.0302 0.0302 0.2939  2 Co 2.90, 1 Ru 2.91
Ho 0.2049 0.2049 0.8132  1 Ru 2.75
Ho 0.3341 0.3341 0.5357  3 Ru 2.88-3.07, 1 Co 2.94
Ho 0.4049 0.4049 0.0500  1 Co 3.00, 2 Ru 3.08, 6 Ho 3.33-3.36
Ho 0.5951 0.5951 0.9500  1 Co 3.00, 2 Ru 3.08, 6 Ho 3.33-3.36
Ho 0.6659 0.6659 0.4643  3 Ru 2.88-3.07, 1 Co 2.94
Ho 0.7951 0.7951 0.1868  1 Ru 2.75
Ho 0.9698 0.9698 0.7061  2 Co 2.90, 1 Ru 2.91
Co 0.5000 0.5000 0.5000  8 Ho 2.90-3.00
Ru 0.1846 0.1846 0.2008  5 Ho 2.75-3.07
Ru 0.8154 0.8154 0.7992  5 Ho 2.75-3.07

Results
- energy of formation (meV/atom) = -219
- distance to the lowest polymorph of the same formula (meV per atom) = 0
- magnetization (μB per atom) = 0.000
- DFT total energy (eV/atom) = -5.881
- DOS at the Fermi energy (states/eV/atom) = 0.956


[2]
The following is a PBE calculation of SmHoCoRu after structural relaxation, from Alexandria.

Unit cell a=4.8097 b=4.8097 c=4.8097 alpha=60.00 beta=60.00 gamma=60.00
With the nearest neighbours (Å) after each atom.
Atoms (fractional coordinates):
Sm 0.0000 0.0000 0.0000  4 Co 2.95, 4 Ru 2.95
Ho 0.5000 0.5000 0.5000  4 Co 2.95, 4 Ru 2.95
Co 0.7500 0.7500 0.7500  4 Ho 2.95, 4 Sm 2.95
Ru 0.2500 0.2500 0.2500  4 Ho 2.95, 4 Sm 2.95

Results
- energy of formation (meV/atom) = -170
- magnetization (μB per atom) = 0.000
- DFT total energy (eV/atom) = -6.589
- DOS at the Fermi energy (states/eV/atom) = 0.958


[3]
The following is a PBE calculation of HoCoSnRu after structural relaxation, from Alexandria.

Unit cell a=4.5959 b=4.5959 c=4.5959 alpha=60.00 beta=60.00 gamma=60.00
With the nearest neighbours (Å) after each atom.
Atoms (fractional coordinates):
Ho 0.0000 0.0000 0.0000  4 Ru 2.81, 4 Co 2.81
Co 0.2500 0.2500 0.2500  4 Sn 2.81, 4 Ho 2.81
Sn 0.5000 0.5000 0.5000  4 Ru 2.81, 4 Co 2.81
Ru 0.7500 0.7500 0.7500  4 Sn 2.81, 4 Ho 2.81

Results
- energy of formation (meV/atom) = -329
- magnetization (μB per atom) = 0.000
- DFT total energy (eV/atom) = -6.569
- DOS at the Fermi energy (states/eV/atom) = 0.260


[4]
The following is a PBE calculation of HoTaCoRu after structural relaxation, from Alexandria.

Unit cell a=4.5680 b=4.5680 c=4.5680 alpha=60.00 beta=60.00 gamma=60.00
With the nearest neighbours (Å) after each atom.
Atoms (fractional coordinates):
Ho 0.0000 0.0000 0.0000  4 Co 2.80, 4 Ru 2.80
Ta 0.5000 0.5000 0.5000  4 Co 2.80, 4 Ru 2.80
Co 0.2500 0.2500 0.2500  4 Ta 2.80, 4 Ho 2.80
Ru 0.7500 0.7500 0.7500  4 Ta 2.80, 4 Ho 2.80

Results
- energy of formation (meV/atom) = -184
- magnetization (μB per atom) = 0.211
- DFT total energy (eV/atom) = -8.387
- DOS at the Fermi energy (states/eV/atom) = 0.604


Question: Which of these has the lowest DFT total energy?
Answer: HoTaCoRu